Density functional theory data (GGA-PBE) for a geometry-optimized GaGe2Rh2 structure.

The structure belongs to space group P4/mbm (No. 127); the cell edges are 7.538, 7.538 and 2.818 Å and the angles 90.00°, 90.00° and 90.00°. The asymmetric unit holds Ga at (0.000, 0.000, 0.000), Ge at (0.149, 0.351, 0.000) and Rh at (0.144, 0.644, 0.500).

For the formation enthalpy at 0 K, the calculation gives -0.2410 eV/atom. For the density of states at the Fermi level, the calculation gives 0.46 states/eV/atom.

Density functional theory data (GGA-PBE) for a geometry-optimized BaTi2V structure.

The structure belongs to space group P1 (No. 1); the cell edges are 3.526, 4.175 and 14.272 Å and the angles 82.18°, 89.97° and 90.00°. The asymmetric unit holds Ba at (0.000, 0.000, 0.000), Ba at (0.001, 0.237, 0.261), Ti at (0.001, 0.503, 0.773), Ti at (0.002, 0.741, 0.488), Ti at (0.501, 0.001, 0.770), Ti at (0.502, 0.242, 0.490), V at (0.001, 0.122, 0.630) and V at (0.501, 0.622, 0.630).

For the formation enthalpy at 0 K, the calculation gives 0.2790 eV/atom. For the density of states at the Fermi level, the calculation gives 1.16 states/eV/atom.

Density functional theory data (GGA-PBE) for a geometry-optimized HoTiAs2 structure.

The structure belongs to space group R-3m (No. 166, hexagonal axes); the cell edges are 3.8657, 3.8657 and 19.0769 Å and the angles 90.00°, 90.00° and 120.00°. The asymmetric unit holds Ho at (0.0000, 0.0000, 0.0000), Ti at (0.0000, 0.0000, 0.5000) and As at (0.0000, 0.0000, 0.2408).

For the formation enthalpy at 0 K, the calculation gives -1.1458 eV/atom. For the density of states at the Fermi level, the calculation gives 0.61 states/eV/atom.

Copy entry 3 word for word.
Density functional theory data (GGA-PBE) for a geometry-optimized HoTiAs2 structure.

The structure belongs to space group R-3m (No. 166, hexagonal axes); the cell edges are 3.8657, 3.8657 and 19.0769 Å and the angles 90.00°, 90.00° and 120.00°. The asymmetric unit holds Ho at (0.0000, 0.0000, 0.0000), Ti at (0.0000, 0.0000, 0.5000) and As at (0.0000, 0.0000, 0.2408).

For the formation enthalpy at 0 K, the calculation gives -1.1458 eV/atom. For the density of states at the Fermi level, the calculation gives 0.61 states/eV/atom.